No. 1
A plane-wave DFT calculation with PBE-GGA was carried out for an optimized crystal structure of Th4FeIr.

Values from the calculation:
E_form: -35.1 kJ/mol of atoms
Total moment: 0.000 μB per atom
Symmetry: P2_1/m, No. 11

a = 6.3639 Å, b = 6.9413 Å, c = 7.2237 Å
α = 90.00°, β = 90.73°, γ = 90.00°
Last column: nearest neighbours and their distance in Å.
Positions (direct):
Th 0.0762 0.2500 0.0985  1 Fe 2.73, 1 Ir 2.84
Th 0.1071 0.7500 0.3787  1 Fe 2.65, 1 Ir 2.84
Th 0.4160 0.5020 0.7605  2 Fe 2.76-2.86, 2 Ir 2.96-2.97
Th 0.4160 0.9980 0.7605  2 Fe 2.76-2.86, 2 Ir 2.96-2.97
Th 0.5840 0.0020 0.2395  2 Fe 2.76-2.86, 2 Ir 2.96-2.97
Th 0.5840 0.4980 0.2395  2 Fe 2.76-2.86, 2 Ir 2.96-2.97
Th 0.8929 0.2500 0.6213  1 Fe 2.65, 1 Ir 2.84
Th 0.9238 0.7500 0.9015  1 Fe 2.73, 1 Ir 2.84
Fe 0.3137 0.7500 0.0625  6 Th 2.65-2.86
Fe 0.6863 0.2500 0.9375  6 Th 2.65-2.86
Ir 0.2901 0.2500 0.4462  6 Th 2.84-2.97
Ir 0.7099 0.7500 0.5538  6 Th 2.84-2.97

=====

No. 2
A plane-wave DFT calculation with PBE-GGA was carried out for an optimized crystal structure of BaIrCl.

Values from the calculation:
Total moment: 0.000 μB per atom
Energy above the lowest structure with this stoichiometry: 618 meV/atom
Symmetry: P-1, No. 2
Energy relative to the elements, uncorrected: -0.5677 eV per atom

a = 4.9492 Å, b = 5.7972 Å, c = 6.6246 Å
α = 64.19°, β = 87.77°, γ = 74.16°
Last column: nearest neighbours and their distance in Å.
Positions (direct):
Ba 0.1353 0.1158 0.1966  2 Cl 3.05-3.29, 3 Ir 3.22-3.35
Ba 0.8647 0.8842 0.8034  2 Cl 3.05-3.29, 3 Ir 3.22-3.35
Ir 0.5001 0.4919 0.8249  1 Ir 2.36, 1 Cl 2.56
Ir 0.4999 0.5081 0.1751  1 Ir 2.36, 1 Cl 2.56
Cl 0.3135 0.3064 0.5611  2 Ir 2.56-2.71
Cl 0.6865 0.6936 0.4389  2 Ir 2.56-2.71

=====

No. 3
A plane-wave DFT calculation with PBE-GGA was carried out for an optimized crystal structure of Pr12Tm3Sc.

Values from the calculation:
E_form: 1.8 kJ/mol of atoms
Total moment: 0.000 μB per atom
Symmetry: P4/mmm, No. 123

a = 5.1510 Å, b = 5.1510 Å, c = 20.5822 Å
α = 90.00°, β = 90.00°, γ = 90.00°
Last column: nearest neighbours and their distance in Å.
Positions (direct):
Pr 0.0000 0.0000 0.0000  8 Pr 3.60, 4 Sc 3.64
Pr 0.0000 0.0000 0.2483  4 Tm 3.64, 8 Pr 3.65-3.66
Pr 0.0000 0.0000 0.5000  4 Tm 3.64, 8 Pr 3.65
Pr 0.0000 0.0000 0.7517  4 Tm 3.64, 8 Pr 3.65-3.66
Pr 0.0000 0.5000 0.1222  2 Sc 3.60, 8 Pr 3.60-3.66, 2 Tm 3.66
Pr 0.0000 0.5000 0.3741  8 Pr 3.64-3.65, 4 Tm 3.65
Pr 0.0000 0.5000 0.6259  8 Pr 3.64-3.65, 4 Tm 3.65
Pr 0.0000 0.5000 0.8778  2 Sc 3.60, 8 Pr 3.60-3.66, 2 Tm 3.66
Pr 0.5000 0.0000 0.1222  2 Sc 3.60, 8 Pr 3.60-3.66, 2 Tm 3.66
Pr 0.5000 0.0000 0.3741  8 Pr 3.64-3.65, 4 Tm 3.65
Pr 0.5000 0.0000 0.6259  8 Pr 3.64-3.65, 4 Tm 3.65
Pr 0.5000 0.0000 0.8778  2 Sc 3.60, 8 Pr 3.60-3.66, 2 Tm 3.66
Tm 0.5000 0.5000 0.2483  12 Pr 3.64-3.66
Tm 0.5000 0.5000 0.5000  12 Pr 3.64-3.65
Tm 0.5000 0.5000 0.7517  12 Pr 3.64-3.66
Sc 0.5000 0.5000 0.0000  12 Pr 3.60-3.64

=====

No. 4
A plane-wave DFT calculation with PBE-GGA was carried out for an optimized crystal structure of CaBe5.

Values from the calculation:
E_form: 36.3 kJ/mol of atoms
Total moment: 0.000 μB per atom
Symmetry: Cm, No. 8

a = 5.9494 Å, b = 5.9494 Å, c = 5.3577 Å
α = 114.58°, β = 114.58°, γ = 23.83°
Last column: nearest neighbours and their distance in Å.
Positions (direct):
Ca 0.0000 0.0000 0.0000  2 Ca 2.46, 2 Be 2.66
Be 0.2688 0.2688 0.9886  3 Be 2.10-2.19
Be 0.2817 0.2817 0.5916  5 Be 2.06-2.27
Be 0.6198 0.6198 0.6040  8 Be 2.27-2.46
Be 0.7226 0.7226 0.2500  5 Be 2.06-2.10
Be 0.9220 0.9220 0.4258  1 Be 2.10

=====

No. 5
A plane-wave DFT calculation with PBE-GGA was carried out for an optimized crystal structure of Pm4HoPu3Se8.

Values from the calculation:
Total moment: 1.086 μB per atom
Symmetry: R-3m, No. 166
Energy relative to the elements, uncorrected: -1.7276 eV per atom

a = 8.3404 Å, b = 8.3404 Å, c = 8.3404 Å
α = 59.59°, β = 59.59°, γ = 59.59°
Last column: nearest neighbours and their distance in Å.
Positions (direct):
Pm 0.0000 0.0000 0.0000  6 Se 2.99
Pm 0.0000 0.5000 0.5000  6 Se 2.96
Pm 0.5000 0.0000 0.5000  6 Se 2.96
Pm 0.5000 0.5000 0.0000  6 Se 2.96
Ho 0.5000 0.5000 0.5000  6 Se 2.89
Pu 0.0000 0.0000 0.5000  6 Se 2.92
Pu 0.0000 0.5000 0.0000  6 Se 2.92
Pu 0.5000 0.0000 0.0000  6 Se 2.92
Se 0.2482 0.2482 0.2482  3 Pu 2.92, 3 Pm 2.96
Se 0.2508 0.7459 0.7459  1 Ho 2.89, 2 Pu 2.92, 3 Pm 2.96-2.99
Se 0.2541 0.2541 0.7492  1 Ho 2.89, 2 Pu 2.92, 3 Pm 2.96-2.99
Se 0.2541 0.7492 0.2541  1 Ho 2.89, 2 Pu 2.92, 3 Pm 2.96-2.99
Se 0.7459 0.2508 0.7459  1 Ho 2.89, 2 Pu 2.92, 3 Pm 2.96-2.99
Se 0.7459 0.7459 0.2508  1 Ho 2.89, 2 Pu 2.92, 3 Pm 2.96-2.99
Se 0.7492 0.2541 0.2541  1 Ho 2.89, 2 Pu 2.92, 3 Pm 2.96-2.99
Se 0.7518 0.7518 0.7518  3 Pu 2.92, 3 Pm 2.96

=====

No. 6
A plane-wave DFT calculation with PBE-GGA was carried out for an optimized crystal structure of AlInSb3.

Values from the calculation:
Total moment: 0.000 μB per atom
Energy above the lowest structure with this stoichiometry: 0 meV/atom
Symmetry: Pm-3m, No. 221
Energy relative to the elements, uncorrected: 0.4122 eV per atom

a = 5.3516 Å, b = 5.3516 Å, c = 5.3516 Å
α = 90.00°, β = 90.00°, γ = 90.00°
Last column: nearest neighbours and their distance in Å.
Positions (direct):
Al 0.0000 0.0000 0.0000  6 Sb 2.68
In 0.5000 0.5000 0.5000  12 Sb 3.78
Sb 0.0000 0.0000 0.5000  2 Al 2.68
Sb 0.0000 0.5000 0.0000  2 Al 2.68
Sb 0.5000 0.0000 0.0000  2 Al 2.68

=====

No. 7
A plane-wave DFT calculation with PBE-GGA was carried out for an optimized crystal structure of FeWS2N.

Values from the calculation:
Total moment: 0.497 μB per atom
Energy above the lowest structure with this stoichiometry: 305 meV/atom
Symmetry: P4/mmm, No. 123
Energy relative to the elements, uncorrected: 0.7499 eV per atom

a = 4.5789 Å, b = 4.5789 Å, c = 3.3493 Å
α = 90.00°, β = 90.00°, γ = 90.00°
Last column: nearest neighbours and their distance in Å.
Positions (direct):
Fe 0.0000 0.0000 0.0000  2 N 1.67
W 0.5000 0.5000 0.5000  8 S 2.84
S 0.0000 0.5000 0.0000  2 Fe 2.29
S 0.5000 0.0000 0.0000  2 Fe 2.29
N 0.0000 0.0000 0.5000  2 Fe 1.67

=====

No. 8
A plane-wave DFT calculation with PBE-GGA was carried out for an optimized crystal structure of CaCrRe2.

Values from the calculation:
E_form: 57.6 kJ/mol of atoms
Total moment: 0.001 μB per atom
Energy above the lowest structure with this stoichiometry: 118 meV/atom
Symmetry: Cm, No. 8

a = 5.0299 Å, b = 5.0299 Å, c = 5.3568 Å
α = 104.63°, β = 104.63°, γ = 34.97°
Last column: nearest neighbours and their distance in Å.
Positions (direct):
Ca 0.0000 0.0000 0.0000  2 Ca 3.02, 7 Re 3.07-3.24, 3 Cr 3.13-3.26
Cr 0.2138 0.2138 0.6479  4 Re 2.39-2.45
Re 0.5067 0.5067 0.5040  2 Cr 2.45, 2 Re 2.58
Re 0.7816 0.7816 0.3544  2 Cr 2.39, 2 Re 2.58

=====

No. 9
A plane-wave DFT calculation with PBE-GGA was carried out for an optimized crystal structure of Sc5Co2Sn2Ru.

Values from the calculation:
E_form: -42.4 kJ/mol of atoms
Total moment: 0.000 μB per atom
Symmetry: P4/mbm, No. 127

a = 10.7461 Å, b = 10.7461 Å, c = 3.2576 Å
α = 90.00°, β = 90.00°, γ = 90.00°
Last column: nearest neighbours and their distance in Å.
Positions (direct):
Sc 0.0000 0.5000 0.0000  4 Co 2.61
Sc 0.0663 0.1983 0.0000  2 Co 2.53, 2 Ru 2.78
Sc 0.1983 0.9337 0.0000  2 Co 2.53, 2 Ru 2.78
Sc 0.3017 0.4337 0.0000  2 Co 2.53, 2 Ru 2.78
Sc 0.4337 0.6983 0.0000  2 Co 2.53, 2 Ru 2.78
Sc 0.5000 0.0000 0.0000  4 Co 2.61
Sc 0.5663 0.3017 0.0000  2 Co 2.53, 2 Ru 2.78
Sc 0.6983 0.5663 0.0000  2 Co 2.53, 2 Ru 2.78
Sc 0.8017 0.0663 0.0000  2 Co 2.53, 2 Ru 2.78
Sc 0.9337 0.8017 0.0000  2 Co 2.53, 2 Ru 2.78
Co 0.1345 0.3655 0.5000  6 Sc 2.53-2.61
Co 0.3655 0.8655 0.5000  6 Sc 2.53-2.61
Co 0.6345 0.1345 0.5000  6 Sc 2.53-2.61
Co 0.8655 0.6345 0.5000  6 Sc 2.53-2.61
Sn 0.1753 0.6753 0.5000  1 Co 2.89, 6 Sc 3.12-3.23
Sn 0.3247 0.1753 0.5000  1 Co 2.89, 6 Sc 3.12-3.23
Sn 0.6753 0.8247 0.5000  1 Co 2.89, 6 Sc 3.12-3.23
Sn 0.8247 0.3247 0.5000  1 Co 2.89, 6 Sc 3.12-3.23
Ru 0.0000 0.0000 0.5000  8 Sc 2.78
Ru 0.5000 0.5000 0.5000  8 Sc 2.78

=====

No. 10
A plane-wave DFT calculation with PBE-GGA was carried out for an optimized crystal structure of Nd4Sm15Y.

Values from the calculation:
E_form: 1.5 kJ/mol of atoms
Total moment: 0.000 μB per atom
Symmetry: P4/mmm, No. 123

a = 5.1473 Å, b = 5.1473 Å, c = 25.7117 Å
α = 90.00°, β = 90.00°, γ = 90.00°
Last column: nearest neighbours and their distance in Å.
Positions (direct):
Nd 0.0000 0.0000 0.1003  12 Sm 3.64
Nd 0.0000 0.0000 0.3008  12 Sm 3.64
Nd 0.0000 0.0000 0.6992  12 Sm 3.64
Nd 0.0000 0.0000 0.8997  12 Sm 3.64
Sm 0.0000 0.5000 0.0000  8 Sm 3.64, 4 Nd 3.64
Sm 0.0000 0.5000 0.2005  8 Sm 3.64-3.65, 4 Nd 3.64
Sm 0.0000 0.5000 0.4009  8 Sm 3.62-3.64, 2 Y 3.62, 2 Nd 3.64
Sm 0.0000 0.5000 0.5991  8 Sm 3.62-3.64, 2 Y 3.62, 2 Nd 3.64
Sm 0.0000 0.5000 0.7995  8 Sm 3.64-3.65, 4 Nd 3.64
Sm 0.5000 0.0000 0.0000  8 Sm 3.64, 4 Nd 3.64
Sm 0.5000 0.0000 0.2005  8 Sm 3.64-3.65, 4 Nd 3.64
Sm 0.5000 0.0000 0.4009  8 Sm 3.62-3.64, 2 Y 3.62, 2 Nd 3.64
Sm 0.5000 0.0000 0.5991  8 Sm 3.62-3.64, 2 Y 3.62, 2 Nd 3.64
Sm 0.5000 0.0000 0.7995  8 Sm 3.64-3.65, 4 Nd 3.64
Sm 0.5000 0.5000 0.1002  4 Nd 3.64, 8 Sm 3.64
Sm 0.5000 0.5000 0.3010  8 Sm 3.64-3.65, 4 Nd 3.64
Sm 0.5000 0.5000 0.5000  8 Sm 3.62, 4 Y 3.64
Sm 0.5000 0.5000 0.6990  8 Sm 3.64-3.65, 4 Nd 3.64
Sm 0.5000 0.5000 0.8998  4 Nd 3.64, 8 Sm 3.64
Y 0.0000 0.0000 0.5000  12 Sm 3.62-3.64